No. 1
Entry from Alexandria: Pm2IrS after structural relaxation (PBE).

Summary:
Crystal system: trigonal
Formation energy without anion corrections, meV/atom: -1256
E, eV/cell: -82.5
ρ, g cm⁻³: 8.62

CIF file:
```
data_Pm2IrS
_space_group_name_H-M_alt 'R -3 m'
_space_group_IT_number 166
_space_group_name_Hall '-R 3 2"'
_cell_length_a 4.0181
_cell_length_b 4.0181
_cell_length_c 21.2492
_cell_angle_alpha 90.00
_cell_angle_beta 90.00
_cell_angle_gamma 120.00
loop_
_atom_site_label
_atom_site_type_symbol
_atom_site_fract_x
_atom_site_fract_y
_atom_site_fract_z
Pm1 Pm 0.0000 0.0000 0.2466
Ir1 Ir 0.0000 0.0000 0.5000
S1 S 0.0000 0.0000 0.0000
```



No. 2
Entry from Alexandria: LaPmPr2Er5 after structural relaxation (PBE).

Summary:
E_form, eV/atom: 0.246
Crystal system: tetragonal
E, eV/cell: -159.4
ρ, g cm⁻³: 7.79

CIF file:
```
data_LaPmPr2Er5
_space_group_name_H-M_alt 'I 4/m c m'
_space_group_IT_number 140
_space_group_name_Hall '-I 4 2c'
_cell_length_a 8.732
_cell_length_b 8.732
_cell_length_c 15.673
_cell_angle_alpha 90.00
_cell_angle_beta 90.00
_cell_angle_gamma 90.00
loop_
_atom_site_label
_atom_site_type_symbol
_atom_site_fract_x
_atom_site_fract_y
_atom_site_fract_z
La1 La 0.000 0.000 0.250
Pm1 Pm 0.000 0.500 0.250
Pr1 Pr 0.118 0.382 0.000
Er1 Er 0.000 0.000 0.000
Er2 Er 0.210 0.290 0.363
```



No. 3
Entry from Alexandria: CuAg3Pb after structural relaxation (PBE).

Summary:
E_form, eV/atom: 0.409
Crystal system: cubic
E, eV/cell: -14.3
ρ, g cm⁻³: 8.56

CIF file:
```
data_CuAg3Pb
_space_group_name_H-M_alt 'P m -3 m'
_space_group_IT_number 221
_space_group_name_Hall '-P 4 2 3'
_cell_length_a 4.868
_cell_length_b 4.868
_cell_length_c 4.868
_cell_angle_alpha 90.00
_cell_angle_beta 90.00
_cell_angle_gamma 90.00
loop_
_atom_site_label
_atom_site_type_symbol
_atom_site_fract_x
_atom_site_fract_y
_atom_site_fract_z
Cu1 Cu 0.000 0.000 0.000
Ag1 Ag 0.000 0.000 0.500
Pb1 Pb 0.500 0.500 0.500
```



No. 4
Entry from Alexandria: GaRu3O after structural relaxation (PBE).

Summary:
Crystal system: cubic
Formation energy without anion corrections, meV/atom: 1995
E, eV/cell: -25.8
ρ, g cm⁻³: 6.07

CIF file:
```
data_GaRu3O
_space_group_name_H-M_alt 'P m -3 m'
_space_group_IT_number 221
_space_group_name_Hall '-P 4 2 3'
_cell_length_a 4.739
_cell_length_b 4.739
_cell_length_c 4.739
_cell_angle_alpha 90.00
_cell_angle_beta 90.00
_cell_angle_gamma 90.00
loop_
_atom_site_label
_atom_site_type_symbol
_atom_site_fract_x
_atom_site_fract_y
_atom_site_fract_z
Ga1 Ga 0.000 0.000 0.000
Ru1 Ru 0.000 0.000 0.500
O1 O 0.500 0.500 0.500
```



No. 5
Entry from Alexandria: KReSiO2 after structural relaxation (PBE).

Summary:
Crystal system: tetragonal
Formation energy without anion corrections, meV/atom: 1050
E, eV/cell: -23.6
ρ, g cm⁻³: 4.87

CIF file:
```
data_KReSiO2
_space_group_name_H-M_alt 'P 4/m m m'
_space_group_IT_number 123
_space_group_name_Hall '-P 4 2'
_cell_length_a 3.613
_cell_length_b 3.613
_cell_length_c 7.457
_cell_angle_alpha 90.00
_cell_angle_beta 90.00
_cell_angle_gamma 90.00
loop_
_atom_site_label
_atom_site_type_symbol
_atom_site_fract_x
_atom_site_fract_y
_atom_site_fract_z
K1 K 0.000 0.000 0.000
Re1 Re 0.500 0.500 0.000
Si1 Si 0.000 0.000 0.500
O1 O 0.000 0.500 0.500
```



No. 6
Entry from Alexandria: Cs2P2Pd after structural relaxation (PBE).

Summary:
E_form, eV/atom: -0.113
Crystal system: tetragonal
E, eV/cell: -36.6
ρ, g cm⁻³: 5.56

CIF file:
```
data_Cs2P2Pd
_space_group_name_H-M_alt 'P 4/m b m'
_space_group_IT_number 127
_space_group_name_Hall '-P 4 2ab'
_cell_length_a 6.593
_cell_length_b 6.593
_cell_length_c 5.971
_cell_angle_alpha 90.00
_cell_angle_beta 90.00
_cell_angle_gamma 90.00
loop_
_atom_site_label
_atom_site_type_symbol
_atom_site_fract_x
_atom_site_fract_y
_atom_site_fract_z
Cs1 Cs 0.181 0.319 0.000
P1 P 0.123 0.623 0.500
Pd1 Pd 0.000 0.000 0.500
```



No. 7
Entry from Alexandria: Ce4Dy3ThS8 after structural relaxation (PBE).

Summary:
Crystal system: trigonal
Formation energy without anion corrections, meV/atom: -2006
E, eV/cell: -330.3
ρ, g cm⁻³: 7.14

CIF file:
```
data_Ce4Dy3ThS8
_space_group_name_H-M_alt 'R -3 m'
_space_group_IT_number 166
_space_group_name_Hall '-R 3 2"'
_cell_length_a 7.9558
_cell_length_b 7.9558
_cell_length_c 19.5571
_cell_angle_alpha 90.00
_cell_angle_beta 90.00
_cell_angle_gamma 120.00
loop_
_atom_site_label
_atom_site_type_symbol
_atom_site_fract_x
_atom_site_fract_y
_atom_site_fract_z
Ce1 Ce 0.0000 0.0000 0.0000
Ce2 Ce 0.0000 0.5000 0.0000
Dy1 Dy 0.0000 0.5000 0.5000
Th1 Th 0.0000 0.0000 0.5000
S1 S 0.0000 0.0000 0.2462
S2 S 0.0069 0.5034 0.7524
```



No. 8
Entry from Alexandria: La4PuTh3Se8 after structural relaxation (PBE).

Summary:
Crystal system: trigonal
Formation energy without anion corrections, meV/atom: -1770
E, eV/cell: -337.5
ρ, g cm⁻³: 8.14

CIF file:
```
data_La4PuTh3Se8
_space_group_name_H-M_alt 'R -3 m'
_space_group_IT_number 166
_space_group_name_Hall '-R 3 2"'
_cell_length_a 8.4776
_cell_length_b 8.4776
_cell_length_c 20.9257
_cell_angle_alpha 90.00
_cell_angle_beta 90.00
_cell_angle_gamma 120.00
loop_
_atom_site_label
_atom_site_type_symbol
_atom_site_fract_x
_atom_site_fract_y
_atom_site_fract_z
La1 La 0.0000 0.0000 0.0000
La2 La 0.0000 0.5000 0.0000
Pu1 Pu 0.0000 0.0000 0.5000
Th1 Th 0.0000 0.5000 0.5000
Se1 Se 0.0000 0.0000 0.2484
Se2 Se 0.0031 0.5015 0.2474
```



No. 9
Entry from Alexandria: Pm7Pr2Dy3 after structural relaxation (PBE).

Summary:
E_form, eV/atom: 0.111
Crystal system: orthorhombic
E, eV/cell: -110.6
ρ, g cm⁻³: 7.20

CIF file:
```
data_Pm7Pr2Dy3
_space_group_name_H-M_alt 'C m m m'
_space_group_IT_number 65
_space_group_name_Hall '-C 2 2'
_cell_length_a 5.824
_cell_length_b 38.584
_cell_length_c 3.663
_cell_angle_alpha 90.00
_cell_angle_beta 90.00
_cell_angle_gamma 90.00
loop_
_atom_site_label
_atom_site_type_symbol
_atom_site_fract_x
_atom_site_fract_y
_atom_site_fract_z
Pm1 Pm 0.000 0.000 0.000
Pm2 Pm 0.000 0.071 0.500
Pm3 Pm 0.000 0.231 0.000
Pm4 Pm 0.000 0.410 0.000
Pr1 Pr 0.000 0.148 0.000
Dy1 Dy 0.000 0.314 0.500
Dy2 Dy 0.000 0.500 0.500
```



No. 10
Entry from Alexandria: Rb3LiTl4Cl8 after structural relaxation (PBE).

Summary:
Crystal system: monoclinic
Formation energy without anion corrections, meV/atom: -1415
E, eV/cell: -103.4
ρ, g cm⁻³: 4.17

CIF file:
```
data_Rb3LiTl4Cl8
_space_group_name_H-M_alt 'C 1 2/m 1'
_space_group_IT_number 12
_space_group_name_Hall '-C 2y'
_cell_length_a 15.927
_cell_length_b 9.125
_cell_length_c 9.060
_cell_angle_alpha 90.00
_cell_angle_beta 124.32
_cell_angle_gamma 90.00
loop_
_atom_site_label
_atom_site_type_symbol
_atom_site_fract_x
_atom_site_fract_y
_atom_site_fract_z
Rb1 Rb 0.000 0.000 0.000
Rb2 Rb 0.250 0.250 0.000
Li1 Li 0.000 0.500 0.000
Tl1 Tl 0.000 0.000 0.500
Tl2 Tl 0.000 0.500 0.500
Tl3 Tl 0.250 0.250 0.500
Cl1 Cl 0.001 0.289 0.216
Cl2 Cl 0.234 0.000 0.733
Cl3 Cl 0.248 0.500 0.746
```



No. 11
Entry from Alexandria: AlFeAs after structural relaxation (PBE).

Summary:
E_form, eV/atom: 0.066
Crystal system: hexagonal
E, eV/cell: -16.7
ρ, g cm⁻³: 6.09

CIF file:
```
data_AlFeAs
_space_group_name_H-M_alt 'P -6 m 2'
_space_group_IT_number 187
_space_group_name_Hall 'P -6 2'
_cell_length_a 4.0017
_cell_length_b 4.0017
_cell_length_c 3.0993
_cell_angle_alpha 90.00
_cell_angle_beta 90.00
_cell_angle_gamma 120.00
loop_
_atom_site_label
_atom_site_type_symbol
_atom_site_fract_x
_atom_site_fract_y
_atom_site_fract_z
Al1 Al 0.0000 0.0000 0.0000
Fe1 Fe 0.3333 0.6667 0.5000
As1 As 0.6667 0.3333 0.5000
```



No. 12
Entry from Alexandria: MnTeAs2Se after structural relaxation (PBE).

Summary:
Crystal system: tetragonal
Formation energy without anion corrections, meV/atom: 323
E, eV/cell: -23.5
ρ, g cm⁻³: 6.48

CIF file:
```
data_MnTeAs2Se
_space_group_name_H-M_alt 'P 4/m m m'
_space_group_IT_number 123
_space_group_name_Hall '-P 4 2'
_cell_length_a 4.736
_cell_length_b 4.736
_cell_length_c 4.702
_cell_angle_alpha 90.00
_cell_angle_beta 90.00
_cell_angle_gamma 90.00
loop_
_atom_site_label
_atom_site_type_symbol
_atom_site_fract_x
_atom_site_fract_y
_atom_site_fract_z
Mn1 Mn 0.000 0.000 0.000
Te1 Te 0.500 0.500 0.500
As1 As 0.000 0.500 0.000
Se1 Se 0.000 0.000 0.500
```



No. 13
Entry from Alexandria: Y3InN after structural relaxation (PBE).

Summary:
Crystal system: monoclinic
Formation energy without anion corrections, meV/atom: -756
E, eV/cell: -136.9
ρ, g cm⁻³: 5.21

CIF file:
```
data_Y3InN
_space_group_name_H-M_alt 'C 1 2/m 1'
_space_group_IT_number 12
_space_group_name_Hall '-C 2y'
_cell_length_a 14.152
_cell_length_b 5.045
_cell_length_c 7.426
_cell_angle_alpha 90.00
_cell_angle_beta 107.84
_cell_angle_gamma 90.00
loop_
_atom_site_label
_atom_site_type_symbol
_atom_site_fract_x
_atom_site_fract_y
_atom_site_fract_z
Y1 Y 0.085 0.000 0.206
Y2 Y 0.167 0.500 0.511
Y3 Y 0.196 0.000 0.826
In1 In 0.074 0.500 0.891
N1 N 0.174 0.000 0.511
```



No. 14
Entry from Alexandria: Rb2ZrSbRu after structural relaxation (PBE).

Summary:
Crystal system: tetragonal
Formation energy without anion corrections, meV/atom: 1262
E, eV/cell: -17.6
ρ, g cm⁻³: 4.18

CIF file:
```
data_Rb2ZrSbRu
_space_group_name_H-M_alt 'P 4/m m m'
_space_group_IT_number 123
_space_group_name_Hall '-P 4 2'
_cell_length_a 6.167
_cell_length_b 6.167
_cell_length_c 5.062
_cell_angle_alpha 90.00
_cell_angle_beta 90.00
_cell_angle_gamma 90.00
loop_
_atom_site_label
_atom_site_type_symbol
_atom_site_fract_x
_atom_site_fract_y
_atom_site_fract_z
Rb1 Rb 0.000 0.500 0.000
Zr1 Zr 0.000 0.000 0.500
Sb1 Sb 0.500 0.500 0.500
Ru1 Ru 0.500 0.500 0.000
```



No. 15
Entry from Alexandria: La8CdRh2 after structural relaxation (PBE).

Summary:
E_form, eV/atom: -0.302
Crystal system: monoclinic
E, eV/cell: -116.7
ρ, g cm⁻³: 6.76

CIF file:
```
data_La8CdRh2
_space_group_name_H-M_alt 'C 1 2/m 1'
_space_group_IT_number 12
_space_group_name_Hall '-C 2y'
_cell_length_a 8.777
_cell_length_b 14.282
_cell_length_c 5.809
_cell_angle_alpha 90.00
_cell_angle_beta 105.22
_cell_angle_gamma 90.00
loop_
_atom_site_label
_atom_site_type_symbol
_atom_site_fract_x
_atom_site_fract_y
_atom_site_fract_z
La1 La 0.000 0.245 0.000
La2 La 0.099 0.500 0.805
La3 La 0.213 0.123 0.561
Cd1 Cd 0.000 0.000 0.000
Rh1 Rh 0.000 0.283 0.500
```



No. 16
Entry from Alexandria: Sr12N3O5 after structural relaxation (PBE).

Summary:
Crystal system: cubic
Formation energy without anion corrections, meV/atom: -1215
E, eV/cell: -754.0
ρ, g cm⁻³: 4.04

CIF file:
```
data_Sr12N3O5
_space_group_name_H-M_alt 'I a -3 d'
_space_group_IT_number 230
_space_group_name_Hall '-I 4bd 2c 3'
_cell_length_a 15.689
_cell_length_b 15.689
_cell_length_c 15.689
_cell_angle_alpha 90.00
_cell_angle_beta 90.00
_cell_angle_gamma 90.00
loop_
_atom_site_label
_atom_site_type_symbol
_atom_site_fract_x
_atom_site_fract_y
_atom_site_fract_z
Sr1 Sr 0.022 0.056 0.656
N1 N 0.000 0.250 0.125
O1 O 0.000 0.000 0.000
O2 O 0.000 0.250 0.375
```



No. 17
Entry from Alexandria: Pm2CuNi9 after structural relaxation (PBE).

Summary:
E_form, eV/atom: -0.094
Crystal system: trigonal
E, eV/cell: -200.3
ρ, g cm⁻³: 8.61

CIF file:
```
data_Pm2CuNi9
_space_group_name_H-M_alt 'R -3 m'
_space_group_IT_number 166
_space_group_name_Hall '-R 3 2"'
_cell_length_a 4.9281
_cell_length_b 4.9281
_cell_length_c 24.2668
_cell_angle_alpha 90.00
_cell_angle_beta 90.00
_cell_angle_gamma 120.00
loop_
_atom_site_label
_atom_site_type_symbol
_atom_site_fract_x
_atom_site_fract_y
_atom_site_fract_z
Pm1 Pm 0.0000 0.0000 0.1330
Cu1 Cu 0.0000 0.0000 0.0000
Ni1 Ni 0.0000 0.0000 0.3328
Ni2 Ni 0.0000 0.0000 0.5000
Ni3 Ni 0.0001 0.5001 0.0797
```



No. 18
Entry from Alexandria: LaAgRu2 after structural relaxation (PBE).

Summary:
E_form, eV/atom: 0.341
Crystal system: tetragonal
E, eV/cell: -49.9
ρ, g cm⁻³: 9.81

CIF file:
```
data_LaAgRu2
_space_group_name_H-M_alt 'I -4 m 2'
_space_group_IT_number 119
_space_group_name_Hall 'I -4 -2'
_cell_length_a 4.318
_cell_length_b 4.318
_cell_length_c 8.148
_cell_angle_alpha 90.00
_cell_angle_beta 90.00
_cell_angle_gamma 90.00
loop_
_atom_site_label
_atom_site_type_symbol
_atom_site_fract_x
_atom_site_fract_y
_atom_site_fract_z
La1 La 0.000 0.000 0.000
Ag1 Ag 0.000 0.500 0.250
Ru1 Ru 0.000 0.000 0.500
Ru2 Ru 0.000 0.500 0.750
```



No. 19
Entry from Alexandria: TbY2Ge after structural relaxation (PBE).

Summary:
E_form, eV/atom: -0.259
Crystal system: trigonal
E, eV/cell: -69.6
ρ, g cm⁻³: 5.69

CIF file:
```
data_TbY2Ge
_space_group_name_H-M_alt 'R 3 m'
_space_group_IT_number 160
_space_group_name_Hall 'R 3 -2"'
_cell_length_a 3.7773
_cell_length_b 3.7773
_cell_length_c 28.9979
_cell_angle_alpha 90.00
_cell_angle_beta 90.00
_cell_angle_gamma 120.00
loop_
_atom_site_label
_atom_site_type_symbol
_atom_site_fract_x
_atom_site_fract_y
_atom_site_fract_z
Tb1 Tb 0.0000 0.0000 0.0000
Y1 Y 0.0000 0.0000 0.5646
Y2 Y 0.0000 0.0000 0.7672
Ge1 Ge 0.0000 0.0000 0.1656
```



No. 20
Entry from Alexandria: Tb2SmNi2 after structural relaxation (PBE).

Summary:
E_form, eV/atom: -0.316
Crystal system: orthorhombic
E, eV/cell: -54.2
ρ, g cm⁻³: 8.37

CIF file:
```
data_Tb2SmNi2
_space_group_name_H-M_alt 'C m m m'
_space_group_IT_number 65
_space_group_name_Hall '-C 2 2'
_cell_length_a 4.369
_cell_length_b 14.469
_cell_length_c 3.675
_cell_angle_alpha 90.00
_cell_angle_beta 90.00
_cell_angle_gamma 90.00
loop_
_atom_site_label
_atom_site_type_symbol
_atom_site_fract_x
_atom_site_fract_y
_atom_site_fract_z
Tb1 Tb 0.000 0.154 0.000
Sm1 Sm 0.000 0.500 0.500
Ni1 Ni 0.000 0.302 0.500
```



no.,magnetic moment (μB/f.u.)
1,0.00
2,0.01
3,0.00
4,7.17
5,2.77
6,0.00
7,2.47
8,5.74
9,0.00
10,0.00
11,0.78
12,1.36
13,0.00
14,3.08
15,0.00
16,2.07
17,2.75
18,1.83
19,0.86
20,0.00